! K2BeAl (meta-GGA SCAN, PBEsol geometry); values from VASP
&SYSTEM
  ibrav = 0, nat = 4, ntyp = 3
/
ATOMIC_SPECIES
K 39.10 K.upf
Al 26.98 Al.upf
Be 9.01 Be.upf
CELL_PARAMETERS angstrom
3.869 0.000 0.000
0.000 5.158 0.000
0.000 0.000 5.896
ATOMIC_POSITIONS angstrom
K 0.000 0.000 1.496
K 0.000 0.000 4.400
Al 1.935 2.579 0.000
Be 1.935 2.579 2.948
! * total magnetization: 0.00 Bohr magnetons per cell
! * DFT formation energy: 0.843 eV/atom
! * space group: No. 47
! * final energy: -25.39 eV for the cell shown